The following is a PBE calculation of an optimized crystal structure of NaSrTc2O, from Alexandria.

Values from the calculation:
- Space group: P4/mmm
- Volume: 17.5 A^3/atom
- Final energy: -28.273 eV for the cell shown
- Density of states at the Fermi level: 4.83 states/eV per cell

Cell lengths 4.134, 5.124, 4.134 Å; angles 90.00, 90.00, 90.00 degrees
Positions (direct):
Tc: 0.500 0.000 0.000
Na: 0.500 0.500 0.500
Sr: 0.000 0.500 0.000
Tc: 0.000 0.000 0.500
O: 0.000 0.000 0.000

The following is a PBE calculation of an optimized crystal structure of Pr3TlS2, from Alexandria.

Values from the calculation:
- Space group: Cmcm
- Volume: 29.1 A^3/atom
- Final energy: -64.678 eV for the cell shown
- Density of states at the Fermi level: 8.26 states/eV per cell

Cell lengths 4.083, 7.626, 11.645 Å; angles 90.00, 90.00, 105.53 degrees
Positions (direct):
Pr: 0.038 0.075 0.750
S: 0.000 0.000 0.000
Pr: 0.361 0.722 0.974
Pr: 0.361 0.722 0.526
S: 0.406 0.812 0.750
S: 0.000 0.000 0.500
Pr: 0.962 0.925 0.250
Pr: 0.639 0.278 0.474
S: 0.594 0.188 0.250
Tl: 0.725 0.450 0.750
Tl: 0.275 0.550 0.250
Pr: 0.639 0.278 0.026

The following is a PBE calculation of an optimized crystal structure of CdSnPb2Cl8, from Alexandria.

Values from the calculation:
- Space group: P2/m
- Volume: 31.3 A^3/atom
- Final energy: -40.090 eV for the cell shown
- Density of states at the Fermi level: 0.00 states/eV per cell

Cell lengths 6.740, 6.473, 8.598 Å; angles 90.00, 90.00, 89.76 degrees
Positions (direct):
Cl: 0.844 0.220 0.765
Cl: 0.335 0.265 0.500
Sn: 0.000 0.000 0.500
Cl: 0.320 0.250 0.000
Cl: 0.156 0.780 0.765
Cl: 0.680 0.750 0.000
Cl: 0.156 0.780 0.235
Cd: 0.000 0.000 0.000
Pb: 0.500 0.500 0.243
Cl: 0.844 0.220 0.235
Pb: 0.500 0.500 0.757
Cl: 0.665 0.735 0.500

The following is a PBE calculation of an optimized crystal structure of SrFeMo2, from Alexandria.

Values from the calculation:
- Space group: C2/m
- Formation energy: 1.036 eV per atom
- Volume: 18.1 A^3/atom
- Offset from the most stable computed form: 426 meV per atom
- Final energy: -27.663 eV for the cell shown
- Density of states at the Fermi level: 5.46 states/eV per cell

Cell lengths 5.798, 5.798, 2.705 Å; angles 82.51, 82.51, 123.88 degrees
Positions (direct):
Mo: 0.000 0.000 0.000
Sr: 0.500 0.000 0.500
Fe: 0.000 0.500 0.500
Mo: 0.500 0.500 0.000

The following is a PBE calculation of an optimized crystal structure of KInIr2, from Alexandria.

Values from the calculation:
- Space group: Pmmm
- Formation energy: 0.514 eV per atom
- Volume: 22.1 A^3/atom
- Final energy: -19.503 eV for the cell shown
- Density of states at the Fermi level: 2.74 states/eV per cell

Cell lengths 2.842, 4.289, 7.241 Å; angles 90.00, 90.00, 90.00 degrees
Positions (direct):
Ir: 0.000 0.000 0.577
In: 0.500 0.500 0.750
Ir: 0.000 0.000 0.923
K: 0.500 0.500 0.250

The following is a PBE calculation of an optimized crystal structure of BaSr2Cl2, from Alexandria.

Values from the calculation:
- Space group: I4/mmm
- Volume: 47.8 A^3/atom
- Final energy: -15.649 eV for the cell shown
- Density of states at the Fermi level: 3.62 states/eV per cell

Cell lengths 4.798, 4.798, 10.932 Å; angles 77.32, 77.32, 90.00 degrees
Positions (direct):
Sr: 0.336 0.336 0.329
Sr: 0.664 0.664 0.671
Cl: 0.750 0.250 0.500
Cl: 0.250 0.750 0.500
Ba: 0.000 0.000 0.000

The following is a PBE calculation of an optimized crystal structure of LiNb3Cu, from Alexandria.

Values from the calculation:
- Space group: Pm-3m
- Formation energy: 1.155 eV per atom
- Volume: 16.7 A^3/atom
- Offset from the most stable computed form: 0 meV per atom
- Final energy: -30.446 eV for the cell shown
- Density of states at the Fermi level: 5.85 states/eV per cell

Cell lengths 4.369, 4.369, 4.369 Å; angles 90.00, 90.00, 90.00 degrees
Positions (direct):
Nb: 0.000 0.500 0.000
Nb: 0.000 0.000 0.500
Li: 0.000 0.000 0.000
Nb: 0.500 0.000 0.000
Cu: 0.500 0.500 0.500

The following is a PBE calculation of an optimized crystal structure of TlAu2NCl, from Alexandria.

Values from the calculation:
- Space group: P4/mmm
- Volume: 32.9 A^3/atom
- Final energy: -12.381 eV for the cell shown
- Density of states at the Fermi level: 1.87 states/eV per cell

Cell lengths 5.408, 5.616, 5.408 Å; angles 90.00, 90.00, 90.00 degrees
Positions (direct):
Au: 0.000 0.000 0.500
Tl: 0.000 0.000 0.000
Cl: 0.000 0.500 0.000
N: 0.500 0.500 0.500
Au: 0.500 0.000 0.000

The following is a PBE calculation of an optimized crystal structure of PmSc2Be, from Alexandria.

Values from the calculation:
- Space group: R-3m
- Formation energy: 0.703 eV per atom
- Volume: 25.3 A^3/atom
- Offset from the most stable computed form: 672 meV per atom
- Final energy: -18.329 eV for the cell shown
- Density of states at the Fermi level: 4.50 states/eV per cell

Cell lengths 3.267, 3.267, 11.099 Å; angles 81.54, 81.54, 60.00 degrees
Positions (direct):
Pm: 0.500 0.500 0.500
Sc: 0.917 0.917 0.248
Sc: 0.083 0.083 0.752
Be: 0.000 0.000 0.000

The following is a PBE calculation of an optimized crystal structure of NdBiRh, from Alexandria.

Values from the calculation:
- Space group: Cc
- Formation energy: -0.626 eV per atom
- Volume: 25.9 A^3/atom
- Final energy: -35.757 eV for the cell shown
- Density of states at the Fermi level: 3.48 states/eV per cell

Cell lengths 4.212, 4.212, 9.266 Å; angles 103.11, 103.11, 89.99 degrees
Positions (direct):
Nd: 0.596 0.596 0.191
Bi: 0.999 0.999 0.997
Nd: 0.346 0.846 0.691
Rh: 0.152 0.150 0.304
Rh: 0.900 0.402 0.804
Bi: 0.749 0.249 0.497

The following is a PBE calculation of an optimized crystal structure of Sc2IrS, from Alexandria.

Values from the calculation:
- Space group: I-42d
- Volume: 21.2 A^3/atom
- Final energy: -57.794 eV for the cell shown
- Density of states at the Fermi level: 7.67 states/eV per cell

Cell lengths 6.697, 6.697, 6.056 Å; angles 56.43, 56.43, 90.00 degrees
Positions (direct):
Ir: 0.000 0.000 0.000
S: 0.250 0.750 0.500
Sc: 0.130 0.625 0.250
Sc: 0.875 0.870 0.750
S: 0.500 0.500 0.000
Sc: 0.620 0.125 0.250
Ir: 0.750 0.250 0.500
Sc: 0.375 0.380 0.750

The following is a PBE calculation of an optimized crystal structure of NpTlCl4, from Alexandria.

Values from the calculation:
- Space group: Imma
- Volume: 36.9 A^3/atom
- Offset from the most stable computed form: 0 meV per atom
- Final energy: -63.109 eV for the cell shown
- Density of states at the Fermi level: 13.06 states/eV per cell

Cell lengths 8.366, 8.366, 8.366 Å; angles 103.93, 118.10, 106.75 degrees
Positions (direct):
Cl: 0.251 0.673 0.422
Tl: 0.745 0.995 0.250
Tl: 0.255 0.005 0.750
Cl: 0.225 0.232 0.494
Cl: 0.738 0.232 0.006
Cl: 0.262 0.768 0.994
Cl: 0.775 0.768 0.506
Np: 0.000 0.500 0.000
Np: 0.500 0.500 0.500
Cl: 0.749 0.671 0.922
Cl: 0.749 0.327 0.578
Cl: 0.251 0.329 0.078